! Ag3Pt2 PBE optimized geometry; values from VASP
&SYSTEM
  ibrav = 0, nat = 5, ntyp = 2
/
ATOMIC_SPECIES
Pt 195.08 Pt.upf
Ag 107.87 Ag.upf
ATOMIC_POSITIONS crystal
Pt 0.3997 0.3997 0.3997
Pt 0.6003 0.6003 0.6003
Ag 0.7992 0.7992 0.7992
Ag 0.0000 0.0000 0.0000
Ag 0.2008 0.2008 0.2008
CELL_PARAMETERS angstrom
12.0397 -0.0139 -0.0081
11.7081 2.8065 -0.0081
11.7081 1.3768 2.4456
! **Space-group type**: R-3m, No. 166
! **DFT formation energy**: -56 meV/atom
! **Polymorph energy (0 for the lowest one)**: 0 meV/atom


! AgPt4 PBE optimized geometry; values from VASP
&SYSTEM
  ibrav = 0, nat = 5, ntyp = 2
/
ATOMIC_SPECIES
Pt 195.08 Pt.upf
Ag 107.87 Ag.upf
ATOMIC_POSITIONS crystal
Pt 0.6042 0.7990 0.5905
Pt 0.8030 0.4074 0.8014
Pt 0.1970 0.5926 0.1986
Pt 0.3958 0.2010 0.4095
Ag 0.0000 0.0000 0.0000
CELL_PARAMETERS angstrom
-0.3555 -2.7312 0.3835
3.5153 1.3977 3.1300
-5.3920 -0.2279 3.4612
! **Space-group type**: C2/m, No. 12
! **DFT formation energy**: 10 meV/atom
! **Polymorph energy (0 for the lowest one)**: 56 meV/atom


! Ag3Pt2 PBE optimized geometry; values from VASP
&SYSTEM
  ibrav = 0, nat = 10, ntyp = 2
/
ATOMIC_SPECIES
Pt 195.08 Pt.upf
Ag 107.87 Ag.upf
ATOMIC_POSITIONS crystal
Pt 0.7884 0.3966 0.0000
Pt 0.5034 0.4884 0.5000
Pt 0.4116 0.2034 0.0000
Pt 0.6966 0.1116 0.5000
Ag 0.3056 0.8973 0.5000
Ag 0.8944 0.7027 0.5000
Ag 0.1973 0.5944 0.0000
Ag 0.1000 0.3000 0.5000
Ag 0.6000 0.8000 0.0000
Ag 0.0027 0.0056 0.0000
CELL_PARAMETERS angstrom
-1.7349 -2.0677 -5.8441
-4.9629 -3.1733 2.5960
-2.3480 3.2902 -0.4670
! **Space-group type**: P4_2/m, No. 84
! **DFT formation energy**: 24 meV/atom
! **Polymorph energy (0 for the lowest one)**: 79 meV/atom


! AgPt5 PBE optimized geometry; values from VASP
&SYSTEM
  ibrav = 0, nat = 6, ntyp = 2
/
ATOMIC_SPECIES
Pt 195.08 Pt.upf
Ag 107.87 Ag.upf
ATOMIC_POSITIONS crystal
Pt 0.6587 0.0000 0.0000
Pt 0.0079 0.0000 0.0000
Pt 0.4961 0.5000 0.5000
Pt 0.1706 0.5000 0.5000
Pt 0.3333 0.0000 0.0000
Ag 0.8333 0.5000 0.5000
CELL_PARAMETERS angstrom
12.2280 0.0000 0.0000
0.0000 2.7982 0.0000
0.0000 0.0000 2.7982
! **Space-group type**: P4/mmm, No. 123
! **DFT formation energy**: 0 meV/atom


! Ag5Pt7 PBE optimized geometry; values from VASP
&SYSTEM
  ibrav = 0, nat = 12, ntyp = 2
/
ATOMIC_SPECIES
Pt 195.08 Pt.upf
Ag 107.87 Ag.upf
ATOMIC_POSITIONS crystal
Pt 0.5040 0.9983 0.9968
Pt 0.0050 0.4992 0.9968
Pt 0.4960 0.6684 0.3366
Pt 0.4945 0.4962 0.0092
Pt 0.9950 0.1674 0.3366
Pt 0.5055 0.1704 0.3241
Pt 0.5000 0.8333 0.6667
Ag 0.0000 0.3333 0.6667
Ag 0.5000 0.3333 0.6667
Ag 0.0000 0.8333 0.6667
Ag 0.0007 0.9973 0.0020
Ag 0.9993 0.6694 0.3314
CELL_PARAMETERS angstrom
-1.8973 0.4574 -5.3464
3.8470 -3.9870 1.3026
-4.1394 -6.2644 -0.5602
! **Space-group type**: C2/m, No. 12
! **DFT formation energy**: -7 meV/atom
! **Polymorph energy (0 for the lowest one)**: 2 meV/atom


! Ag3Pt PBE optimized geometry; values from VASP
&SYSTEM
  ibrav = 0, nat = 4, ntyp = 2
/
ATOMIC_SPECIES
Ag 107.87 Ag.upf
Pt 195.08 Pt.upf
ATOMIC_POSITIONS crystal
Ag 0.4988 0.4988 0.4988
Ag 0.0012 0.0012 0.0012
Ag 0.2500 0.2500 0.2500
Pt 0.7500 0.7500 0.7500
CELL_PARAMETERS angstrom
9.7139 -0.0117 -0.0069
9.2943 2.8240 -0.0069
9.2943 1.3751 2.4666
! **Space-group type**: R-3m, No. 166
! **DFT formation energy**: 2 meV/atom


! Ag7Pt5 PBE optimized geometry; values from VASP
&SYSTEM
  ibrav = 0, nat = 12, ntyp = 2
/
ATOMIC_SPECIES
Ag 107.87 Ag.upf
Pt 195.08 Pt.upf
ATOMIC_POSITIONS crystal
Ag 0.9939 0.5041 0.2500
Ag 0.3298 0.3338 0.9962
Ag 0.0035 0.9995 0.5038
Ag 0.3298 0.3338 0.5038
Ag 0.3394 0.8293 0.2500
Ag 0.0035 0.9995 0.9962
Ag 0.6667 0.1667 0.2500
Pt 0.6667 0.6667 0.5106
Pt 0.9932 0.5031 0.7500
Pt 0.3402 0.8302 0.7500
Pt 0.6667 0.1667 0.7500
Pt 0.6667 0.6667 0.9894
CELL_PARAMETERS angstrom
-5.2348 -4.6682 -0.5433
1.4757 -1.0118 -4.6324
3.4678 -4.1221 2.0050
! **Space-group type**: P2/m, No. 10
! **DFT formation energy**: 6 meV/atom
! **Polymorph energy (0 for the lowest one)**: 7 meV/atom


! Ag2Pt3 PBE optimized geometry; values from VASP
&SYSTEM
  ibrav = 0, nat = 5, ntyp = 2
/
ATOMIC_SPECIES
Pt 195.08 Pt.upf
Ag 107.87 Ag.upf
ATOMIC_POSITIONS crystal
Pt 0.7950 0.4099 0.2050
Pt 0.2000 0.6000 0.8000
Pt 0.6050 0.7901 0.3950
Ag 0.0006 0.9989 0.9994
Ag 0.3994 0.2011 0.6006
CELL_PARAMETERS angstrom
2.8110 0.0000 0.0000
1.4055 7.4946 0.0002
0.0000 -1.0888 3.8901
! **Space-group type**: Immm, No. 71
! **DFT formation energy**: 24 meV/atom
! **Polymorph energy (0 for the lowest one)**: 64 meV/atom


! AgPt PBE optimized geometry; values from VASP
&SYSTEM
  ibrav = 0, nat = 4, ntyp = 2
/
ATOMIC_SPECIES
Pt 195.08 Pt.upf
Ag 107.87 Ag.upf
ATOMIC_POSITIONS crystal
Pt 0.8132 0.3736 0.2500
Pt 0.1868 0.6264 0.7500
Ag 0.4312 0.1376 0.7500
Ag 0.5688 0.8624 0.2500
CELL_PARAMETERS angstrom
-2.2019 -0.5146 1.5482
-2.8729 -4.0105 -2.9937
2.2112 -3.1499 2.0978
! **Space-group type**: Cmcm, No. 63
! **DFT formation energy**: 123 meV/atom


! Ag3Pt PBE optimized geometry; values from VASP
&SYSTEM
  ibrav = 0, nat = 8, ntyp = 2
/
ATOMIC_SPECIES
Ag 107.87 Ag.upf
Pt 195.08 Pt.upf
ATOMIC_POSITIONS crystal
Ag 0.7500 0.2500 0.0000
Ag 0.8772 0.6228 0.5000
Ag 0.0032 0.0032 0.0000
Ag 0.6228 0.8772 0.5000
Ag 0.4968 0.4968 0.0000
Ag 0.2500 0.7500 0.0000
Pt 0.1279 0.3721 0.5000
Pt 0.3721 0.1279 0.5000
CELL_PARAMETERS angstrom
-4.7504 2.3214 -3.7683
4.4872 -4.4086 -1.6079
-2.4785 -2.9903 1.2823
! **Space-group type**: Cmmm, No. 65
! **DFT formation energy**: 21 meV/atom


! Ag5Pt PBE optimized geometry; values from VASP
&SYSTEM
  ibrav = 0, nat = 6, ntyp = 2
/
ATOMIC_SPECIES
Ag 107.87 Ag.upf
Pt 195.08 Pt.upf
ATOMIC_POSITIONS crystal
Ag 0.5278 0.9444 0.5000
Ag 0.3624 0.2752 0.0000
Ag 0.6932 0.6137 0.0000
Ag 0.8634 0.2732 0.5000
Ag 0.1921 0.6157 0.5000
Pt 0.0278 0.9444 0.0000
CELL_PARAMETERS angstrom
-0.8412 1.4778 3.7777
3.4560 -3.3425 4.3487
3.0679 2.6912 -0.3695
! **Space-group type**: Cmmm, No. 65
! **DFT formation energy**: 18 meV/atom
! **Polymorph energy (0 for the lowest one)**: 3 meV/atom


! Ag5Pt7 PBE optimized geometry; values from VASP
&SYSTEM
  ibrav = 0, nat = 12, ntyp = 2
/
ATOMIC_SPECIES
Ag 107.87 Ag.upf
Pt 195.08 Pt.upf
ATOMIC_POSITIONS crystal
Ag 0.5000 0.2446 0.5019
Ag 0.0000 0.0031 0.3275
Ag 0.0000 0.4993 0.6667
Ag 0.5000 0.2446 0.8315
Ag 0.0000 0.0031 0.0058
Pt 0.0000 0.5055 0.3370
Pt 0.5000 0.7485 0.8364
Pt 0.5000 0.7446 0.1667
Pt 0.0000 0.5055 0.9963
Pt 0.5000 0.2708 0.1667
Pt 0.0000 0.9819 0.6667
Pt 0.5000 0.7485 0.4969
CELL_PARAMETERS angstrom
2.8038 0.0000 0.0000
0.0000 8.1977 0.0000
0.0000 0.0000 8.5470
! **Space-group type**: Pmm2, No. 25
! **DFT formation energy**: -9 meV/atom
! **Polymorph energy (0 for the lowest one)**: 0 meV/atom


> Which formula does entry 9 have?

AgPt


> Among the records above, which one has the highest DFT formation energy?

AgPt


> Which of these has the lowest DFT formation energy?

number 1